(1)
## TbZrTl2 (PBE)

Data for TbZrTl2 after structural relaxation. Values from VASP.

Quantum ESPRESSO input file:
```
&SYSTEM
  ibrav = 0, nat = 4, ntyp = 3
/
ATOMIC_SPECIES
Tb 158.93 Tb.upf
Zr 91.22 Zr.upf
Tl 204.38 Tl.upf
CELL_PARAMETERS angstrom
3.825 0.000 0.000
0.000 3.825 0.000
0.000 0.000 6.887
ATOMIC_POSITIONS crystal
Tb 0.000 0.000 0.000
Zr 0.000 0.000 0.500
Tl 0.500 0.500 0.264
Tl 0.500 0.500 0.736
```

(2)
! Ce4Te2SeS, relaxed, DFT PBE; values from VASP
&SYSTEM
  ibrav = 0, nat = 8, ntyp = 4
/
ATOMIC_SPECIES
Ce 140.12 Ce.upf
Te 127.60 Te.upf
Se 78.96 Se.upf
S 32.06 S.upf
CELL_PARAMETERS angstrom
7.394 0.000 0.000
0.000 4.252 0.000
-2.447 0.000 7.148
ATOMIC_POSITIONS crystal
Ce 0.229 0.000 0.214
Ce 0.251 0.500 0.781
Ce 0.749 0.500 0.219
Ce 0.771 0.000 0.786
Te 0.000 0.000 0.500
Te 0.500 0.500 0.500
Se 0.500 0.000 0.000
S 0.000 0.500 0.000
! energy relative to the elements, uncorrected = -1631 meV per atom

(3)
! Sc2BiRuF, relaxed, DFT PBE; values from VASP
&SYSTEM
  ibrav = 0, nat = 5, ntyp = 4
/
ATOMIC_SPECIES
Sc 44.96 Sc.upf
Bi 208.98 Bi.upf
Ru 101.07 Ru.upf
F 19.00 F.upf
CELL_PARAMETERS angstrom
5.574 0.000 0.000
0.000 5.574 0.000
0.000 0.000 4.957
ATOMIC_POSITIONS crystal
Sc 0.000 0.500 0.000
Sc 0.500 0.000 0.000
Bi 0.000 0.000 0.000
Ru 0.000 0.000 0.500
F 0.500 0.500 0.500
! energy relative to the elements, uncorrected = 567 meV per atom

(4)
## Ce5Tc2Rh (PBE)

Data for Ce5Tc2Rh after structural relaxation. Values from VASP.

Quantum ESPRESSO input file:
```
&SYSTEM
  ibrav = 0, nat = 16, ntyp = 3
/
ATOMIC_SPECIES
Ce 140.12 Ce.upf
Tc 98.00 Tc.upf
Rh 102.91 Rh.upf
CELL_PARAMETERS angstrom
2.729 -6.186 0.000
2.729 6.186 0.000
0.000 0.000 13.638
ATOMIC_POSITIONS crystal
Ce 0.040 0.960 0.620
Ce 0.040 0.960 0.880
Ce 0.266 0.734 0.250
Ce 0.340 0.660 0.567
Ce 0.340 0.660 0.933
Ce 0.660 0.340 0.067
Ce 0.660 0.340 0.433
Ce 0.734 0.266 0.750
Ce 0.960 0.040 0.120
Ce 0.960 0.040 0.380
Tc 0.143 0.857 0.069
Tc 0.143 0.857 0.431
Tc 0.857 0.143 0.569
Tc 0.857 0.143 0.931
Rh 0.209 0.791 0.750
Rh 0.791 0.209 0.250
```

These records have size of the total moment values of 0.00 4.07 0.17 4.90 Bohr magnetons per cell, in the order they appear.
These records have E values of -18.5 -50.7 -24.9 -116.6 eV for the cell shown, in the order they appear.